A PBEsol-optimized structure of BeIr2Os. Source: Alexandria, functional SCAN.

Properties
Volume   12.5 Å³ per atom
E_tot   -54.74 eV per atom

Cell lengths 2.7773, 4.2863, 8.4057 Å; angles 90.00, 90.00, 90.00 degrees
Closest atoms and distances in Å follow each position.
Space group Immm (No. 71)
Symmetry-distinct sites (fractional):
1 Be 0.0000 0.0000 0.0000 x2  4 Ir 2.31, 4 Os 2.55
2 Ir 0.0000 0.5000 0.2810 x4  2 Be 2.31
3 Os 0.0000 0.0000 0.5000 x2  4 Be 2.55, 8 Ir 2.74-2.83, 2 Os 2.78

---

A PBEsol-optimized structure of Re8Pb8O27. Source: Alexandria, functional SCAN.

Properties
Volume   13.4 Å³ per atom
Uncorrected formation energy   -134.73 kJ per mole of atoms
E_tot   -32.64 eV per atom

Cell lengths 7.3885, 7.3885, 10.5450 Å; angles 90.00, 90.00, 90.00 degrees
Closest atoms and distances in Å follow each position.
Space group P-4m2 (No. 115)
Symmetry-distinct sites (fractional):
1 Re 0.0000 0.2469 0.1292 x4  6 O 1.88-2.05
2 Re 0.2525 0.5000 0.3734 x4  6 O 1.89-2.05
3 Pb 0.0000 0.2596 0.6173 x4  3 O 2.28-2.49
4 Pb 0.2437 0.5000 0.8948 x4  1 O 2.15
5 O 0.0000 0.0000 0.1735 x2  2 Re 1.88
6 O 0.0000 0.0000 0.5000 x1  4 Pb 2.28
7 O 0.0000 0.5000 0.0487 x2  2 Re 2.05
8 O 0.0000 0.5000 0.4533 x2  2 Re 2.05
9 O 0.0000 0.5000 0.7828 x2  2 Pb 2.15
10 O 0.1798 0.3209 0.2503 x8  2 Re 1.92-1.93
11 O 0.1962 0.1962 0.0000 x4  2 Re 2.02
12 O 0.3029 0.3029 0.5000 x4  2 Re 2.01
13 O 0.5000 0.5000 0.3291 x2  2 Re 1.89

---

A PBEsol-optimized structure of LiCrSe2Br. Source: Alexandria, functional SCAN.

Properties
Volume   20.8 Å³ per atom
Uncorrected formation energy   5.94 kJ per mole of atoms
E_tot   -16.02 eV per atom

Cell lengths 4.5323, 4.5323, 5.0581 Å; angles 90.00, 90.00, 90.00 degrees
Closest atoms and distances in Å follow each position.
Space group P4/mmm (No. 123)
Symmetry-distinct sites (fractional):
1 Li 0.0000 0.0000 0.0000 x1  4 Se 2.27, 2 Br 2.53
2 Cr 0.5000 0.5000 0.5000 x1  4 Br 3.20, 8 Se 3.40
3 Se 0.0000 0.5000 0.0000 x2  2 Li 2.27
4 Br 0.0000 0.0000 0.5000 x1  2 Li 2.53

---

A PBEsol-optimized structure of ZrAl2Cu3. Source: Alexandria, functional SCAN.

Properties
Volume   14.4 Å³ per atom
E_tot   -15.68 eV per atom

Cell lengths 5.0576, 5.0576, 3.9125 Å; angles 90.00, 90.00, 120.00 degrees
Closest atoms and distances in Å follow each position.
Space group P6/mmm (No. 191)
Symmetry-distinct sites (fractional):
1 Zr 0.0000 0.0000 0.0000 x1  6 Al 2.92, 12 Cu 3.20
2 Al 0.3333 0.6667 0.0000 x2  6 Cu 2.44
3 Cu 0.0000 0.5000 0.5000 x3  4 Al 2.44, 4 Cu 2.53

---

A PBEsol-optimized structure of KBa2TcSe. Source: Alexandria, functional SCAN.

Properties
Volume   44.7 Å³ per atom
Uncorrected formation energy   6.77 kJ per mole of atoms
E_tot   -28.44 eV per atom

Cell lengths 6.1725, 6.1725, 5.8651 Å; angles 90.00, 90.00, 90.00 degrees
Closest atoms and distances in Å follow each position.
Space group P4/mmm (No. 123)
Symmetry-distinct sites (fractional):
1 K 0.0000 0.0000 0.0000 x1  2 Se 2.93
2 Ba 0.0000 0.5000 0.5000 x2  2 Se 3.09
3 Tc 0.5000 0.5000 0.0000 x1  8 Ba 4.26, 4 K 4.36
4 Se 0.0000 0.0000 0.5000 x1  2 K 2.93, 4 Ba 3.09

---

A PBEsol-optimized structure of Y2V2O7. Source: Alexandria, functional SCAN.

Properties
Volume   14.2 Å³ per atom
Uncorrected formation energy   -314.32 kJ per mole of atoms
E_tot   -15.47 eV per atom
Excess energy over the best structure of this formula in the dataset   33 meV/atom

Cell lengths 6.5792, 9.4016, 5.1291 Å; angles 90.00, 100.55, 90.00 degrees
Closest atoms and distances in Å follow each position.
Space group C2/m (No. 12)
Symmetry-distinct sites (fractional):
1 Y 0.0000 0.1879 0.0000 x4  6 O 2.20-2.27
2 V 0.2440 0.5000 0.4005 x4  4 O 1.77-1.83
3 O 0.0000 0.5000 0.5000 x2  2 V 1.77
4 O 0.0797 0.0000 0.2794 x4  1 V 1.83
5 O 0.2279 0.3392 0.2088 x8  1 V 1.80

---

A PBEsol-optimized structure of Cr4OF11. Source: Alexandria, functional SCAN.

Properties
Volume   11.3 Å³ per atom
Uncorrected formation energy   -288.26 kJ per mole of atoms
E_tot   -10.41 eV per atom
Excess energy over the best structure of this formula in the dataset   0 meV/atom

Cell lengths 9.1432, 4.9108, 8.4183 Å; angles 90.00, 107.16, 90.00 degrees
Closest atoms and distances in Å follow each position.
Space group C2 (No. 5)
Symmetry-distinct sites (fractional):
1 Cr 0.1158 0.0000 0.3842 x4  1 O 1.75, 5 F 1.90-1.96
2 Cr 0.1270 0.4954 0.8736 x4  6 F 1.89-1.91
3 O 0.0000 0.1255 0.5000 x2  2 Cr 1.75
4 F 0.0000 0.6276 0.0000 x2  2 Cr 1.91
5 F 0.9997 0.6773 0.3191 x4  2 Cr 1.90-1.91
6 F 0.0015 0.1783 0.8134 x4  2 Cr 1.91
7 F 0.2458 0.8708 0.2521 x4  2 Cr 1.89-1.96
8 F 0.2499 0.3096 0.4346 x4  2 Cr 1.90-1.92
9 F 0.2497 0.3135 0.0664 x4  2 Cr 1.90-1.91

---

A PBEsol-optimized structure of LiLaY2. Source: Alexandria, functional SCAN.

Properties
Volume   29.0 Å³ per atom
E_tot   -25.21 eV per atom
Excess energy over the best structure of this formula in the dataset   23 meV/atom

Cell lengths 3.7374, 5.5588, 11.1749 Å; angles 90.00, 90.00, 90.00 degrees
Closest atoms and distances in Å follow each position.
Space group Immm (No. 71)
Symmetry-distinct sites (fractional):
1 Li 0.0000 0.0000 0.0000 x2  4 Y 3.13, 4 La 3.35
2 La 0.0000 0.0000 0.5000 x2  4 Li 3.35, 8 Y 3.60-3.75, 2 La 3.74
3 Y 0.0000 0.5000 0.2748 x4  2 Li 3.13, 4 Y 3.39

---

A PBEsol-optimized structure of La4MgOs. Source: Alexandria, functional SCAN.

Properties
Volume   27.2 Å³ per atom
E_tot   -40.73 eV per atom

Cell lengths 8.6731, 8.6731, 8.6731 Å; angles 90.00, 90.00, 90.00 degrees
Closest atoms and distances in Å follow each position.
Space group F-43m (No. 216)
Symmetry-distinct sites (fractional):
1 La 0.1233 0.1233 0.1233 x16  6 La 3.03-3.11
2 Mg 0.0000 0.0000 0.5000 x4  12 La 3.60, 4 Os 3.76
3 Os 0.2500 0.2500 0.7500 x4  12 La 3.59, 4 Mg 3.76

---

A PBEsol-optimized structure of Ti2Se. Source: Alexandria, functional SCAN.

Properties
Volume   15.7 Å³ per atom
Uncorrected formation energy   -88.32 kJ per mole of atoms
E_tot   -18.29 eV per atom

Cell lengths 11.6069, 14.3566, 3.4018 Å; angles 90.00, 90.00, 90.00 degrees
Closest atoms and distances in Å follow each position.
Space group Pnnm (No. 58)
Symmetry-distinct sites (fractional):
1 Ti 0.0293 0.1087 0.0000 x4  3 Se 2.58-2.71, 4 Ti 2.85-2.86
2 Ti 0.0855 0.5764 0.0000 x4  3 Se 2.51-2.57, 2 Ti 2.77
3 Ti 0.0905 0.7395 0.5000 x4  5 Se 2.56-2.84
4 Ti 0.1149 0.4260 0.5000 x4  4 Se 2.54-2.75, 2 Ti 2.77
5 Ti 0.1454 0.9795 0.5000 x4  4 Se 2.57-2.62, 2 Ti 2.85
6 Ti 0.1878 0.2054 0.5000 x4  5 Se 2.53-2.54
7 Se 0.0684 0.2946 0.0000 x4  8 Ti 2.54-2.71
8 Se 0.1873 0.8497 0.0000 x4  7 Ti 2.53-2.58
9 Se 0.2447 0.5861 0.5000 x4  8 Ti 2.51-2.75

---

A PBEsol-optimized structure of Si2PbAu. Source: Alexandria, functional SCAN.

Properties
Volume   19.3 Å³ per atom
Uncorrected formation energy   34.93 kJ per mole of atoms
E_tot   -40.88 eV per atom

Cell lengths 3.2860, 3.2860, 7.1677 Å; angles 90.00, 90.00, 90.00 degrees
Closest atoms and distances in Å follow each position.
Space group P4mm (No. 99)
Symmetry-distinct sites (fractional):
1 Si 0.0000 0.0000 0.0000 x1  4 Si 2.57, 1 Au 2.64
2 Si 0.5000 0.5000 0.1535 x1  4 Si 2.57, 4 Au 2.79
3 Pb 0.5000 0.5000 0.6549 x1  4 Au 3.10, 4 Pb 3.29, 4 Si 3.39
4 Au 0.0000 0.0000 0.3681 x1  5 Si 2.64-2.79

---

A PBEsol-optimized structure of CaMg3. Source: Alexandria, functional SCAN.

Properties
Volume   25.5 Å³ per atom
E_tot   -6.18 eV per atom

Cell lengths 7.4136, 7.4136, 7.4136 Å; angles 90.00, 90.00, 90.00 degrees
Closest atoms and distances in Å follow each position.
Space group Fm-3m (No. 225)
Symmetry-distinct sites (fractional):
1 Ca 0.0000 0.0000 0.0000 x4  8 Mg 3.21
2 Mg 0.0000 0.0000 0.5000 x4  8 Mg 3.21
3 Mg 0.2500 0.2500 0.2500 x8  4 Mg 3.21, 4 Ca 3.21

---

A PBEsol-optimized structure of YHfTl2. Source: Alexandria, functional SCAN.

Properties
Volume   23.6 Å³ per atom
E_tot   -58.97 eV per atom

Cell lengths 7.2295, 7.2295, 7.2295 Å; angles 90.00, 90.00, 90.00 degrees
Closest atoms and distances in Å follow each position.
Space group Fm-3m (No. 225)
Symmetry-distinct sites (fractional):
1 Y 0.0000 0.0000 0.0000 x4  8 Tl 3.13
2 Hf 0.0000 0.0000 0.5000 x4  8 Tl 3.13
3 Tl 0.2500 0.2500 0.2500 x8  4 Hf 3.13, 4 Y 3.13

---

A PBEsol-optimized structure of Fe2TcAs. Source: Alexandria, functional SCAN.

Properties
Volume   12.3 Å³ per atom
E_tot   -22.87 eV per atom

Cell lengths 2.9820, 4.0367, 4.0749 Å; angles 90.00, 90.00, 90.00 degrees
Closest atoms and distances in Å follow each position.
Space group Pmmm (No. 47)
Symmetry-distinct sites (fractional):
1 Fe 0.0000 0.0000 0.0000 x1  4 Fe 2.51, 4 As 2.52
2 Fe 0.5000 0.5000 0.0000 x1  4 Fe 2.51, 4 Tc 2.52
3 Tc 0.0000 0.5000 0.5000 x1  4 As 2.51, 4 Fe 2.52
4 As 0.5000 0.0000 0.5000 x1  4 Tc 2.51, 4 Fe 2.52

---

A PBEsol-optimized structure of V6O7F5. Source: Alexandria, functional SCAN.

Properties
Volume   10.5 Å³ per atom
Uncorrected formation energy   -277.18 kJ per mole of atoms
E_tot   -12.11 eV per atom
Excess energy over the best structure of this formula in the dataset   15 meV/atom

Cell lengths 8.8381, 6.4577, 7.1892 Å; angles 90.00, 113.36, 90.00 degrees
Closest atoms and distances in Å follow each position.
Space group Cm (No. 8)
Symmetry-distinct sites (fractional):
1 V 0.0000 0.0000 0.0000 x2  4 O 1.94-1.96, 2 F 1.97-2.00
2 V 0.0053 0.0000 0.4945 x2  2 O 1.94-1.96, 4 F 1.99-2.02
3 V 0.1485 0.5000 0.1877 x2  4 O 1.84-1.92
4 V 0.2024 0.5000 0.6767 x2  3 O 1.85-1.86
5 V 0.3073 0.0000 0.3151 x2  4 O 1.86-1.95
6 V 0.3434 0.0000 0.8336 x2  4 O 1.91-2.04, 2 F 1.99-2.02
7 O 0.1595 0.2039 0.1685 x4  3 V 1.86-1.96
8 O 0.2363 0.0000 0.5391 x2  3 V 1.94-1.95
9 O 0.2761 0.5000 0.4690 x2  3 V 1.85-1.96
10 O 0.3434 0.2963 0.8356 x4  3 V 1.86-1.94
11 O 0.4288 0.0000 0.1427 x2  3 V 1.84-2.04
12 F 0.0048 0.3093 0.5044 x4  3 V 2.00-2.13
13 F 0.0783 0.5000 0.8686 x2  3 V 1.99-2.13
14 F 0.1062 0.0000 0.8013 x2  3 V 2.00-2.02
15 F 0.3924 0.5000 0.1938 x2  3 V 1.97-2.14

---

A PBEsol-optimized structure of ScCoMo2. Source: Alexandria, functional SCAN.

Properties
Volume   15.1 Å³ per atom
E_tot   -25.13 eV per atom
Excess energy over the best structure of this formula in the dataset   154 meV/atom

Cell lengths 3.6646, 3.6646, 8.9786 Å; angles 90.00, 90.00, 90.00 degrees
Closest atoms and distances in Å follow each position.
Space group I4/mmm (No. 139)
Symmetry-distinct sites (fractional):
1 Sc 0.0000 0.0000 0.0000 x2  4 Co 2.59, 8 Mo 2.90
2 Co 0.0000 0.0000 0.5000 x2  4 Sc 2.59, 8 Mo 2.90
3 Mo 0.0000 0.5000 0.2500 x4  4 Mo 2.59, 4 Co 2.90, 4 Sc 2.90

---

A PBEsol-optimized structure of Te7O6F30. Source: Alexandria, functional SCAN.

Properties
Volume   15.0 Å³ per atom
Uncorrected formation energy   -181.40 kJ per mole of atoms
E_tot   -11.28 eV per atom

Cell lengths 8.9542, 8.9542, 27.8451 Å; angles 90.00, 90.00, 120.00 degrees
Closest atoms and distances in Å follow each position.
Space group R-3 (No. 148, hexagonal axes)
Symmetry-distinct sites (fractional):
1 Te 0.0000 0.0000 0.0000 x3  6 O 1.94
2 Te 0.0013 0.3124 0.9197 x18  5 F 1.85-1.86, 1 O 1.92
3 O 0.0942 0.2063 0.9609 x18  2 Te 1.92-1.94
4 F 0.0749 0.2376 0.2929 x18  1 Te 1.85
5 F 0.0764 0.5362 0.4475 x18  1 Te 1.85
6 F 0.0786 0.5781 0.1205 x18  1 Te 1.85
7 F 0.0905 0.5387 0.2867 x18  1 Te 1.86
8 F 0.0921 0.8743 0.1220 x18  1 Te 1.86

---

A PBEsol-optimized structure of Ca5Pt3. Source: Alexandria, functional SCAN.

Properties
Volume   23.4 Å³ per atom
E_tot   -33.29 eV per atom
Excess energy over the best structure of this formula in the dataset   5 meV/atom

Cell lengths 11.3099, 11.3099, 5.8508 Å; angles 90.00, 90.00, 90.00 degrees
Closest atoms and distances in Å follow each position.
Space group I4/mcm (No. 140)
Symmetry-distinct sites (fractional):
1 Ca 0.0000 0.5000 0.2500 x4  4 Pt 2.89, 2 Ca 2.93
2 Ca 0.0832 0.2116 0.0000 x16  4 Pt 2.96-3.09, 1 Ca 3.28
3 Pt 0.0000 0.0000 0.2500 x4  2 Pt 2.93, 8 Ca 2.96
4 Pt 0.1560 0.3440 0.5000 x8  6 Ca 2.89-3.09

---

A PBEsol-optimized structure of Ta5Sb. Source: Alexandria, functional SCAN.

Properties
Volume   18.2 Å³ per atom
Uncorrected formation energy   -1.36 kJ per mole of atoms
E_tot   -61.71 eV per atom
Excess energy over the best structure of this formula in the dataset   57 meV/atom

Cell lengths 10.0932, 3.4256, 6.6605 Å; angles 90.00, 108.94, 90.00 degrees
Closest atoms and distances in Å follow each position.
Space group C2/m (No. 12)
Symmetry-distinct sites (fractional):
1 Ta 0.0000 0.0000 0.0000 x2  8 Ta 2.83-2.87
2 Ta 0.1647 0.5000 0.8376 x4  6 Ta 2.81-2.86, 2 Sb 2.89
3 Ta 0.1742 0.5000 0.3245 x4  6 Ta 2.81-2.90, 3 Sb 2.95-3.11
4 Sb 0.0000 0.0000 0.5000 x2  10 Ta 2.89-3.11

---

A PBEsol-optimized structure of MnZn2. Source: Alexandria, functional SCAN.

Properties
Volume   12.9 Å³ per atom
E_tot   -15.08 eV per atom

Cell lengths 2.6236, 2.6236, 6.5109 Å; angles 90.00, 90.00, 120.00 degrees
Closest atoms and distances in Å follow each position.
Space group P-3m1 (No. 164)
Symmetry-distinct sites (fractional):
1 Mn 0.0000 0.0000 0.0000 x1  6 Zn 2.60, 6 Mn 2.62
2 Zn 0.3333 0.6667 0.6759 x2  3 Mn 2.60, 9 Zn 2.62-2.75

---

A PBEsol-optimized structure of BaFe2Si. Source: Alexandria, functional SCAN.

Properties
Volume   17.7 Å³ per atom
Uncorrected formation energy   104.70 kJ per mole of atoms
E_tot   -20.37 eV per atom

Cell lengths 6.2777, 8.5485, 2.9732 Å; angles 90.00, 117.61, 90.00 degrees
Closest atoms and distances in Å follow each position.
Space group C2/m (No. 12)
Symmetry-distinct sites (fractional):
1 Ba 0.0000 0.0000 0.0000 x2  4 Fe 2.66, 2 Ba 2.97
2 Fe 0.2500 0.2500 0.5000 x4  2 Ba 2.66, 2 Si 2.66, 2 Fe 2.97
3 Si 0.0000 0.5000 0.0000 x2  4 Fe 2.66, 2 Si 2.97